(w)
VASP calculation (GGA-PBE) on a relaxed HoAsOsO crystal.

The structure belongs to space group P4/nmm (No. 129, origin choice 2); the cell edges are 4.051, 4.051 and 7.938 Å and the angles 90.00°, 90.00° and 90.00°. The distinct sites, in fractional coordinates, are Ho at (0.250, 0.250, 0.129), As at (0.250, 0.250, 0.675), Os at (0.250, 0.750, 0.500) and O at (0.250, 0.750, 0.000).

---

(x)
VASP calculation (GGA-PBE) on a relaxed HoAsOsO crystal.

The structure belongs to space group P4/nmm (No. 129, origin choice 2); the cell edges are 4.295, 4.295 and 6.761 Å and the angles 90.00°, 90.00° and 90.00°. The distinct sites, in fractional coordinates, are Ho at (0.250, 0.750, 0.000), As at (0.250, 0.250, 0.285), Os at (0.250, 0.250, 0.649) and O at (0.250, 0.750, 0.500).

---

Most stable one: (w), least stable one: (x).

---

(w)
VASP calculation (GGA-PBE) on a relaxed HoAsOsO crystal.

The structure belongs to space group Pmc2_1 (No. 26); the cell edges are 4.121, 6.021 and 5.724 Å and the angles 90.00°, 90.00° and 90.00°. The distinct sites, in fractional coordinates, are Ho at (0.000, 0.187, 0.000), As at (0.000, 0.314, 0.479), Os at (0.500, 0.492, 0.197) and O at (0.500, 0.243, 0.927).

---

(x)
VASP calculation (GGA-PBE) on a relaxed HoAsOsO crystal.

The structure belongs to space group Pmc2_1 (No. 26); the cell edges are 4.219, 4.286 and 7.137 Å and the angles 90.00°, 90.00° and 90.00°. The distinct sites, in fractional coordinates, are Ho at (0.000, 0.242, 0.000), As at (0.500, 0.228, 0.679), Os at (0.500, 0.266, 0.344) and O at (0.000, 0.308, 0.322).

---

Most stable one: (x), least stable one: (w).

---

(w)
VASP calculation (GGA-PBE) on a relaxed HoAsPO crystal.

The structure belongs to space group P4/nmm (No. 129, origin choice 2); the cell edges are 4.263, 4.263 and 7.771 Å and the angles 90.00°, 90.00° and 90.00°. The distinct sites, in fractional coordinates, are Ho at (0.250, 0.250, 0.110), As at (0.250, 0.750, 0.500), P at (0.250, 0.250, 0.667) and O at (0.250, 0.750, 0.000).

---

(x)
VASP calculation (GGA-PBE) on a relaxed HoAsPO crystal.

The structure belongs to space group Pmc2_1 (No. 26); the cell edges are 4.936, 6.774 and 6.172 Å and the angles 90.00°, 90.00° and 90.00°. The distinct sites, in fractional coordinates, are Ho at (0.000, 0.174, 0.000), As at (0.500, 0.315, 0.572), P at (0.500, 0.371, 0.940) and O at (0.000, 0.065, 0.304).

---

(y)
VASP calculation (GGA-PBE) on a relaxed HoAsPO crystal.

The structure belongs to space group Pmc2_1 (No. 26); the cell edges are 3.459, 6.843 and 6.576 Å and the angles 90.00°, 90.00° and 90.00°. The distinct sites, in fractional coordinates, are Ho at (0.000, 0.199, 0.000), As at (0.500, 0.409, 0.645), P at (0.000, 0.344, 0.419) and O at (0.500, 0.060, 0.088).

---

Most stable one: (w), least stable one: (y).

---

(w)
VASP calculation (GGA-PBE) on a relaxed HoAsPdO crystal.

The structure belongs to space group Pmc2_1 (No. 26); the cell edges are 3.519, 7.801 and 5.416 Å and the angles 90.00°, 90.00° and 90.00°. The distinct sites, in fractional coordinates, are Ho at (0.000, 0.199, 0.000), As at (0.000, 0.429, 0.507), Pd at (0.500, 0.213, 0.518) and O at (0.500, 0.071, 0.102).

---

(x)
VASP calculation (GGA-PBE) on a relaxed HoAsPdO crystal.

The structure belongs to space group Pmc2_1 (No. 26); the cell edges are 4.917, 4.699 and 5.809 Å and the angles 90.00°, 90.00° and 90.00°. The distinct sites, in fractional coordinates, are Ho at (0.000, 0.225, 0.000), As at (0.500, 0.097, 0.699), Pd at (0.500, 0.407, 0.344) and O at (0.000, 0.350, 0.356).

---

Most stable one: (x), least stable one: (w).

---

(w)
VASP calculation (GGA-PBE) on a relaxed HoAsPdO crystal.

The structure belongs to space group P4/nmm (No. 129, origin choice 2); the cell edges are 5.713, 5.713 and 4.621 Å and the angles 90.00°, 90.00° and 90.00°. The distinct sites, in fractional coordinates, are Ho at (0.250, 0.750, 0.000), As at (0.250, 0.250, 0.002), Pd at (0.250, 0.250, 0.502) and O at (0.250, 0.750, 0.500).

---

(x)
VASP calculation (GGA-PBE) on a relaxed HoAsPdO crystal.

The structure belongs to space group P4/nmm (No. 129, origin choice 2); the cell edges are 4.087, 4.087 and 7.962 Å and the angles 90.00°, 90.00° and 90.00°. The distinct sites, in fractional coordinates, are Ho at (0.250, 0.250, 0.127), As at (0.250, 0.250, 0.679), Pd at (0.250, 0.750, 0.500) and O at (0.250, 0.750, 0.000).

---

Most stable one: (x), least stable one: (w).

---

(w)
VASP calculation (GGA-PBE) on a relaxed HoAsPtO crystal.

The structure belongs to space group P4/nmm (No. 129, origin choice 2); the cell edges are 5.909, 5.909 and 4.492 Å and the angles 90.00°, 90.00° and 90.00°. The distinct sites, in fractional coordinates, are Ho at (0.250, 0.750, 0.000), As at (0.250, 0.250, 0.499), Pt at (0.250, 0.250, 0.999) and O at (0.250, 0.750, 0.500).

---

(x)
VASP calculation (GGA-PBE) on a relaxed HoAsPtO crystal.

The structure belongs to space group P4/nmm (No. 129, origin choice 2); the cell edges are 4.119, 4.119 and 7.891 Å and the angles 90.00°, 90.00° and 90.00°. The distinct sites, in fractional coordinates, are Ho at (0.250, 0.250, 0.126), As at (0.250, 0.250, 0.683), Pt at (0.250, 0.750, 0.500) and O at (0.250, 0.750, 0.000).

---

Most stable one: (x), least stable one: (w).

---

(w)
VASP calculation (GGA-PBE) on a relaxed HoAsPtO crystal.

The structure belongs to space group Pmc2_1 (No. 26); the cell edges are 4.786, 4.474 and 6.424 Å and the angles 90.00°, 90.00° and 90.00°. The distinct sites, in fractional coordinates, are Ho at (0.000, 0.221, 0.000), As at (0.500, 0.141, 0.693), Pt at (0.500, 0.363, 0.344) and O at (0.000, 0.333, 0.340).

---

(x)
VASP calculation (GGA-PBE) on a relaxed HoAsPtO crystal.

The structure belongs to space group Pmc2_1 (No. 26); the cell edges are 3.532, 7.802 and 5.509 Å and the angles 90.00°, 90.00° and 90.00°. The distinct sites, in fractional coordinates, are Ho at (0.000, 0.199, 0.000), As at (0.000, 0.423, 0.494), Pt at (0.500, 0.216, 0.528) and O at (0.500, 0.062, 0.073).

---

Most stable one: (w), least stable one: (x).

---

(w)
VASP calculation (GGA-PBE) on a relaxed HoScAsO crystal.

The structure belongs to space group Pmc2_1 (No. 26); the cell edges are 4.142, 7.000 and 5.876 Å and the angles 90.00°, 90.00° and 90.00°. The distinct sites, in fractional coordinates, are Ho at (0.000, 0.208, 0.000), Sc at (0.500, 0.399, 0.603), As at (0.000, 0.191, 0.492) and O at (0.500, 0.336, 0.948).

---

(x)
VASP calculation (GGA-PBE) on a relaxed HoScAsO crystal.

The structure belongs to space group P4/nmm (No. 129, origin choice 2); the cell edges are 4.154, 4.154 and 8.652 Å and the angles 90.00°, 90.00° and 90.00°. The distinct sites, in fractional coordinates, are Ho at (0.250, 0.250, 0.111), Sc at (0.250, 0.750, 0.500), As at (0.250, 0.250, 0.693) and O at (0.250, 0.750, 0.000).

---

Most stable one: (x), least stable one: (w).

---

(w)
VASP calculation (GGA-PBE) on a relaxed HoScAsO crystal.

The structure belongs to space group Pmc2_1 (No. 26); the cell edges are 3.957, 5.808 and 6.856 Å and the angles 90.00°, 90.00° and 90.00°. The distinct sites, in fractional coordinates, are Ho at (0.000, 0.069, 0.000), Sc at (0.500, 0.360, 0.333), As at (0.500, 0.198, 0.710) and O at (0.000, 0.260, 0.292).

---

(x)
VASP calculation (GGA-PBE) on a relaxed HoScAsO crystal.

The structure belongs to space group P4/nmm (No. 129, origin choice 2); the cell edges are 4.273, 4.273 and 8.320 Å and the angles 90.00°, 90.00° and 90.00°. The distinct sites, in fractional coordinates, are Ho at (0.250, 0.750, 0.000), Sc at (0.250, 0.250, 0.424), As at (0.250, 0.250, 0.783) and O at (0.250, 0.750, 0.500).

---

Most stable one: (w), least stable one: (x).

---

(w)
VASP calculation (GGA-PBE) on a relaxed HoSiAsO crystal.

The structure belongs to space group P4/nmm (No. 129, origin choice 2); the cell edges are 5.704, 5.704 and 4.688 Å and the angles 90.00°, 90.00° and 90.00°. The distinct sites, in fractional coordinates, are Ho at (0.250, 0.750, 0.000), Si at (0.250, 0.250, 0.496), As at (0.250, 0.250, 0.996) and O at (0.250, 0.750, 0.500).

---

(x)
VASP calculation (GGA-PBE) on a relaxed HoSiAsO crystal.

The structure belongs to space group Pmc2_1 (No. 26); the cell edges are 3.693, 6.007 and 7.026 Å and the angles 90.00°, 90.00° and 90.00°. The distinct sites, in fractional coordinates, are Ho at (0.000, 0.240, 0.000), Si at (0.500, 0.126, 0.607), As at (0.000, 0.273, 0.420) and O at (0.500, 0.255, 0.822).

---

(y)
VASP calculation (GGA-PBE) on a relaxed HoSiAsO crystal.

The structure belongs to space group P4/nmm (No. 129, origin choice 2); the cell edges are 3.821, 3.821 and 9.772 Å and the angles 90.00°, 90.00° and 90.00°. The distinct sites, in fractional coordinates, are Ho at (0.250, 0.250, 0.114), Si at (0.250, 0.750, 0.500), As at (0.250, 0.250, 0.699) and O at (0.250, 0.750, 0.000).

---

(z)
VASP calculation (GGA-PBE) on a relaxed HoSiAsO crystal.

The structure belongs to space group Pmc2_1 (No. 26); the cell edges are 3.899, 5.877 and 5.920 Å and the angles 90.00°, 90.00° and 90.00°. The distinct sites, in fractional coordinates, are Ho at (0.000, 0.235, 0.000), Si at (0.500, 0.386, 0.375), As at (0.500, 0.093, 0.669) and O at (0.000, 0.415, 0.341).

---

Most stable one: (x), least stable one: (w).